AcAlIr: relaxed, PBE.

Summary:
- Polymorph energy (0 for the lowest one): 813 meV/atom
- Spin magnetization: 0.00 μB per formula unit

Lattice parameters (Å, degrees): 6.7237 6.7237 6.7237 90.00 90.00 90.00
Last column: nearest neighbours and their distance in Å.
Atoms (fractional coordinates):
Ac 0.0000 0.0000 0.0000  4 Al 2.91
Ac 0.0000 0.5000 0.5000  4 Al 2.91
Ac 0.5000 0.0000 0.5000  4 Al 2.91
Ac 0.5000 0.5000 0.0000  4 Al 2.91
Al 0.2500 0.2500 0.2500  4 Ac 2.91, 4 Ir 2.91
Al 0.2500 0.7500 0.7500  4 Ac 2.91, 4 Ir 2.91
Al 0.7500 0.2500 0.7500  4 Ac 2.91, 4 Ir 2.91
Al 0.7500 0.7500 0.2500  4 Ac 2.91, 4 Ir 2.91
Ir 0.0000 0.0000 0.5000  4 Al 2.91
Ir 0.0000 0.5000 0.0000  4 Al 2.91
Ir 0.5000 0.0000 0.0000  4 Al 2.91
Ir 0.5000 0.5000 0.5000  4 Al 2.91